DFT (GGA-PBE) results for a geometry-optimized CrCu2GeH structure.

Computed properties:
Space group: No. 123
Electronic total energy: -5.067 eV/atom
Theoretical density: 7.8 g cm⁻³

a b c (Å): 3.727 3.727 3.896
angles (deg): 90.00 90.00 90.00
Fractional positions:
1 Cr 0.000 0.000 0.500
2 Ge 0.500 0.500 0.500
3 Cu 0.000 0.500 0.000
4 Cu 0.500 0.000 0.000
5 H 0.000 0.000 0.000



DFT (GGA-PBE) results for a geometry-optimized Cr2CuGeH structure.

Computed properties:
Space group: No. 123
Electronic total energy: -6.133 eV/atom
Theoretical density: 7.5 g cm⁻³

a b c (Å): 3.783 3.783 3.740
angles (deg): 90.00 90.00 90.00
Fractional positions:
1 Cr 0.000 0.500 0.000
2 Cr 0.500 0.000 0.000
3 Ge 0.500 0.500 0.500
4 Cu 0.000 0.000 0.500
5 H 0.000 0.000 0.000



DFT (GGA-PBE) results for a geometry-optimized CrIn2CuGe structure.

Computed properties:
Space group: No. 123
Formation energy from the elements: 3.02 eV per formula unit
Theoretical density: 5.9 g cm⁻³

a b c (Å): 5.062 4.614 5.062
angles (deg): 90.00 90.00 90.00
Fractional positions:
1 Cr 0.500 0.500 0.500
2 Ge 0.000 0.500 0.000
3 Cu 0.000 0.000 0.000
4 In 0.000 0.000 0.500
5 In 0.500 0.000 0.000



DFT (GGA-PBE) results for a geometry-optimized CrCuGeIr structure.

Computed properties:
Space group: No. 216
Formation energy from the elements: -0.19 eV per formula unit
Theoretical density: 11.6 g cm⁻³

a b c (Å): 4.250 4.250 4.250
angles (deg): 60.00 60.00 60.00
Fractional positions:
1 Cr 0.000 0.000 0.000
2 Ge 0.250 0.250 0.250
3 Ir 0.500 0.500 0.500
4 Cu 0.750 0.750 0.750



DFT (GGA-PBE) results for a geometry-optimized KCr2CuGe structure.

Computed properties:
Space group: No. 123
Formation energy from the elements: 11.24 eV per formula unit
Theoretical density: 3.1 g cm⁻³

a b c (Å): 5.259 5.415 5.259
angles (deg): 90.00 90.00 90.00
Fractional positions:
1 Cr 0.000 0.000 0.500
2 Cr 0.500 0.000 0.000
3 Ge 0.000 0.500 0.000
4 K 0.000 0.000 0.000
5 Cu 0.500 0.500 0.500



DFT (GGA-PBE) results for a geometry-optimized La2CrCuGe structure.

Computed properties:
Space group: No. 123
Formation energy from the elements: 2.39 eV per formula unit
Theoretical density: 5.8 g cm⁻³

a b c (Å): 5.463 4.505 5.463
angles (deg): 90.00 90.00 90.00
Fractional positions:
1 Cr 0.000 0.500 0.000
2 Ge 0.500 0.500 0.500
3 Cu 0.000 0.000 0.000
4 La 0.000 0.000 0.500
5 La 0.500 0.000 0.000



DFT (GGA-PBE) results for a geometry-optimized MgCr2CuGe structure.

Computed properties:
Space group: No. 123
Formation energy from the elements: 4.24 eV per formula unit
Theoretical density: 4.4 g cm⁻³

a b c (Å): 4.646 4.646 4.646
angles (deg): 90.00 90.00 90.00
Fractional positions:
1 Cr 0.000 0.000 0.500
2 Cr 0.500 0.000 0.000
3 Ge 0.500 0.500 0.500
4 Mg 0.000 0.500 0.000
5 Cu 0.000 0.000 0.000



DFT (GGA-PBE) results for a geometry-optimized MnCrCuGeOs structure.

Computed properties:
Space group: No. 38
Formation energy from the elements: 0.63 eV per formula unit
Theoretical density: 10.9 g cm⁻³
Excess energy over the best structure of this formula in the dataset: 54 meV per atom

a b c (Å): 2.698 3.818 12.834
angles (deg): 90.00 90.00 90.00
Fractional positions:
1 Cr 0.000 0.000 0.694
2 Cr 0.000 0.500 0.194
3 Ge 0.000 0.000 0.499
4 Ge 0.000 0.500 0.999
5 Mn 0.500 0.000 0.084
6 Mn 0.500 0.500 0.584
7 Os 0.500 0.000 0.278
8 Os 0.500 0.500 0.778
9 Cu 0.000 0.000 0.888
10 Cu 0.000 0.500 0.388



Q: Look up the theoretical density of the first one.
A: 7.8 g cm⁻³